Entry 1:
# Er3Ga2Os (GGA-PBE, relaxed)
data_Er3Ga2Os
_chemical_formula_sum 'Er12 Ga8 Os4'
_cell_length_a 4.262
_cell_length_b 10.975
_cell_length_c 11.832
_cell_angle_alpha 90.00
_cell_angle_beta 90.00
_cell_angle_gamma 90.00
_space_group_name_H-M_alt 'P 1'
_space_group_IT_number 1
loop_
_space_group_symop_operation_xyz
'x,y,z'
loop_
_atom_site_label
_atom_site_type_symbol
_atom_site_fract_x
_atom_site_fract_y
_atom_site_fract_z
Ga1 Ga 0.750 0.196 0.007
Os1 Os 0.250 0.129 0.119
Ga2 Ga 0.750 0.304 0.507
Ga3 Ga 0.250 0.496 0.806
Er1 Er 0.750 0.555 0.619
Os2 Os 0.750 0.629 0.381
Ga4 Ga 0.250 0.696 0.493
Er2 Er 0.750 0.620 0.948
Ga5 Ga 0.750 0.996 0.694
Er3 Er 0.250 0.706 0.234
Er4 Er 0.750 0.945 0.119
Er5 Er 0.250 0.445 0.381
Ga6 Ga 0.250 0.004 0.306
Er6 Er 0.250 0.794 0.734
Er7 Er 0.250 0.120 0.552
Er8 Er 0.750 0.294 0.766
Er9 Er 0.750 0.206 0.266
Er10 Er 0.750 0.880 0.448
Os3 Os 0.750 0.871 0.881
Er11 Er 0.250 0.055 0.881
Os4 Os 0.250 0.371 0.619
Er12 Er 0.250 0.380 0.052
Ga7 Ga 0.250 0.804 0.993
Ga8 Ga 0.750 0.504 0.194
# magnetization: 0.0 μB per formula unit
# total energy: -5.6398 eV/atom
# calculated volume: 553.38 Å³/cell

***

Entry 2:
# Er2Ga2Os (GGA-PBE, relaxed)
data_Er2Ga2Os
_chemical_formula_sum 'Er4 Ga4 Os2'
_cell_length_a 4.154
_cell_length_b 5.794
_cell_length_c 9.567
_cell_angle_alpha 89.69
_cell_angle_beta 77.46
_cell_angle_gamma 69.00
_space_group_name_H-M_alt 'P 1'
_space_group_IT_number 1
loop_
_space_group_symop_operation_xyz
'x,y,z'
loop_
_atom_site_label
_atom_site_type_symbol
_atom_site_fract_x
_atom_site_fract_y
_atom_site_fract_z
Er1 Er 0.677 0.317 0.330
Er2 Er 0.930 0.262 0.878
Os1 Os 0.631 0.086 0.652
Os2 Os 0.369 0.914 0.348
Er3 Er 0.070 0.738 0.122
Ga1 Ga 0.633 0.849 0.886
Ga2 Ga 0.087 0.270 0.556
Ga3 Ga 0.913 0.730 0.444
Er4 Er 0.323 0.683 0.670
Ga4 Ga 0.367 0.151 0.114
# magnetization: 0.0 μB per formula unit
# total energy: -5.7890 eV/atom
# calculated volume: 209.16 Å³/cell

***

Entry 3:
# Er2Ga6Os (GGA-PBE, relaxed)
data_Er2Ga6Os
_chemical_formula_sum 'Er2 Ga6 Os1'
_cell_length_a 5.899
_cell_length_b 5.673
_cell_length_c 5.673
_cell_angle_alpha 60.59
_cell_angle_beta 88.99
_cell_angle_gamma 88.99
_space_group_name_H-M_alt 'P 1'
_space_group_IT_number 1
loop_
_space_group_symop_operation_xyz
'x,y,z'
loop_
_atom_site_label
_atom_site_type_symbol
_atom_site_fract_x
_atom_site_fract_y
_atom_site_fract_z
Ga1 Ga 0.320 0.823 0.346
Ga2 Ga 0.680 0.654 0.177
Os1 Os 0.000 0.000 0.000
Er1 Er 0.132 0.331 0.331
Ga3 Ga 0.680 0.177 0.654
Ga4 Ga 0.673 0.176 0.176
Ga5 Ga 0.327 0.824 0.824
Ga6 Ga 0.320 0.346 0.823
Er2 Er 0.868 0.669 0.669
# magnetization: 0.0 μB per formula unit
# total energy: -4.7092 eV/atom
# calculated volume: 165.36 Å³/cell

***

Entry 4:
# Er2Ga3Os (GGA-PBE, relaxed)
data_Er2Ga3Os
_chemical_formula_sum 'Er2 Ga3 Os1'
_cell_length_a 4.583
_cell_length_b 5.370
_cell_length_c 6.138
_cell_angle_alpha 115.94
_cell_angle_beta 111.92
_cell_angle_gamma 90.00
_space_group_name_H-M_alt 'P 1'
_space_group_IT_number 1
loop_
_space_group_symop_operation_xyz
'x,y,z'
loop_
_atom_site_label
_atom_site_type_symbol
_atom_site_fract_x
_atom_site_fract_y
_atom_site_fract_z
Ga1 Ga 0.000 0.000 0.000
Os1 Os 0.000 0.500 0.000
Ga2 Ga 0.625 0.625 0.249
Ga3 Ga 0.375 0.375 0.751
Er1 Er 0.298 0.798 0.596
Er2 Er 0.702 0.202 0.404
# magnetization: 0.0 μB per formula unit
# total energy: -5.0899 eV/atom
# calculated volume: 123.56 Å³/cell

***

Entry 5:
# Er5GaOs2 (GGA-PBE, relaxed)
data_Er5GaOs2
_chemical_formula_sum 'Er10 Ga2 Os4'
_cell_length_a 7.583
_cell_length_b 7.583
_cell_length_c 8.563
_cell_angle_alpha 116.28
_cell_angle_beta 116.28
_cell_angle_gamma 90.00
_space_group_name_H-M_alt 'P 1'
_space_group_IT_number 1
loop_
_space_group_symop_operation_xyz
'x,y,z'
loop_
_atom_site_label
_atom_site_type_symbol
_atom_site_fract_x
_atom_site_fract_y
_atom_site_fract_z
Ga1 Ga 0.250 0.250 0.500
Os1 Os 0.635 0.135 0.000
Ga2 Ga 0.750 0.750 0.500
Er1 Er 0.500 0.500 0.000
Er2 Er 0.699 0.199 0.727
Er3 Er 0.972 0.472 0.273
Os2 Os 0.865 0.635 0.000
Os3 Os 0.135 0.365 0.000
Er4 Er 0.000 0.000 0.000
Er5 Er 0.528 0.699 0.727
Er6 Er 0.199 0.028 0.727
Os4 Os 0.365 0.865 0.000
Er7 Er 0.028 0.528 0.727
Er8 Er 0.472 0.301 0.273
Er9 Er 0.801 0.972 0.273
Er10 Er 0.301 0.801 0.273
# magnetization: 0.0 μB per formula unit
# total energy: -6.4101 eV/atom
# calculated volume: 383.91 Å³/cell

***

Entry 6:
# ErGa2Os (GGA-PBE, relaxed)
data_ErGa2Os
_chemical_formula_sum 'Er1 Ga2 Os1'
_cell_length_a 4.240
_cell_length_b 4.240
_cell_length_c 5.395
_cell_angle_alpha 66.86
_cell_angle_beta 66.86
_cell_angle_gamma 60.00
_space_group_name_H-M_alt 'P 1'
_space_group_IT_number 1
loop_
_space_group_symop_operation_xyz
'x,y,z'
loop_
_atom_site_label
_atom_site_type_symbol
_atom_site_fract_x
_atom_site_fract_y
_atom_site_fract_z
Er1 Er 0.000 0.000 0.000
Ga1 Ga 0.218 0.218 0.345
Os1 Os 0.500 0.500 0.500
Ga2 Ga 0.782 0.782 0.655
# magnetization: 0.0 μB per formula unit
# total energy: -5.8186 eV/atom
# calculated volume: 74.87 Å³/cell

***

What did the sixth record say?
# ErGa2Os (GGA-PBE, relaxed)
data_ErGa2Os
_chemical_formula_sum 'Er1 Ga2 Os1'
_cell_length_a 4.240
_cell_length_b 4.240
_cell_length_c 5.395
_cell_angle_alpha 66.86
_cell_angle_beta 66.86
_cell_angle_gamma 60.00
_space_group_name_H-M_alt 'P 1'
_space_group_IT_number 1
loop_
_space_group_symop_operation_xyz
'x,y,z'
loop_
_atom_site_label
_atom_site_type_symbol
_atom_site_fract_x
_atom_site_fract_y
_atom_site_fract_z
Er1 Er 0.000 0.000 0.000
Ga1 Ga 0.218 0.218 0.345
Os1 Os 0.500 0.500 0.500
Ga2 Ga 0.782 0.782 0.655
# magnetization: 0.0 μB per formula unit
# total energy: -5.8186 eV/atom
# calculated volume: 74.87 Å³/cell

***

> Which of these has the highest calculated volume?

Er3Ga2Os